No. 1
A relaxed structure of LuPaAlCu. Source: the Alexandria database, functional PBE.

Values from the calculation:
**Energy of formation**: -0.141 eV/f.u.

a = 6.993 Å, b = 6.993 Å, c = 6.993 Å
α = 90.00°, β = 90.00°, γ = 90.00°
Space group F-43m (No. 216)
Unique sites:
Lu: 0.000 0.000 0.000 (multiplicity 4)
Pa: 0.000 0.000 0.500 (multiplicity 4)
Al: 0.250 0.250 0.250 (multiplicity 4)
Cu: 0.250 0.250 0.750 (multiplicity 4)



No. 2
A relaxed structure of PrLuAlCu. Source: the Alexandria database, functional PBE.

Values from the calculation:
**Energy of formation**: -0.940 eV/f.u.

a = 7.213 Å, b = 7.213 Å, c = 7.213 Å
α = 90.00°, β = 90.00°, γ = 90.00°
Space group F-43m (No. 216)
Unique sites:
Pr: 0.000 0.000 0.000 (multiplicity 4)
Lu: 0.000 0.000 0.500 (multiplicity 4)
Al: 0.250 0.250 0.750 (multiplicity 4)
Cu: 0.250 0.250 0.250 (multiplicity 4)



No. 3
A relaxed structure of LuAlCuPt. Source: the Alexandria database, functional PBE.

Values from the calculation:
**Energy of formation**: -3.065 eV/f.u.

a = 6.471 Å, b = 6.471 Å, c = 6.471 Å
α = 90.00°, β = 90.00°, γ = 90.00°
Space group F-43m (No. 216)
Unique sites:
Lu: 0.000 0.000 0.000 (multiplicity 4)
Al: 0.000 0.000 0.500 (multiplicity 4)
Cu: 0.250 0.250 0.250 (multiplicity 4)
Pt: 0.250 0.250 0.750 (multiplicity 4)